No. 1
AcTb3Sm5: optimized geometry, PBE.

## Properties
Its excess energy over the best structure of this formula in the dataset is 457.9 meV per atom. As for the energy of formation from the pure elements: 539 meV/atom.

extended XYZ file:
```
18
Lattice="8.173 -1.195 1.986 1.088 8.188 1.986 4.888 3.691 12.397" Properties=species:S:1:pos:R:3 pbc="T T T"
Ac 12.948 9.777 13.526
Ac 1.202 0.908 2.843
Tb 10.245 7.736 12.926
Tb 7.811 5.898 6.896
Tb 0.000 0.000 0.000
Tb 2.444 1.846 6.199
Tb 3.905 2.949 3.443
Tb 6.338 4.786 9.472
Sm 8.120 2.491 6.559
Sm 2.888 5.805 1.986
Sm 6.541 4.939 3.836
Sm 5.003 3.778 6.449
Sm 9.147 6.907 9.920
Sm 7.609 5.745 12.532
Sm 4.619 7.128 6.559
Sm 6.373 1.189 1.986
Sm 6.029 8.193 9.810
Sm 9.531 3.556 9.810
```

No. 2
LiHfZn3: optimized geometry, PBE.

## Properties
Its excess energy over the best structure of this formula in the dataset is 166.7 meV per atom. As for the energy of formation from the pure elements: 174 meV/atom.

extended XYZ file:
```
5
Lattice="4.279 0.000 0.000 0.000 4.279 0.000 0.000 0.000 4.279" Properties=species:S:1:pos:R:3 pbc="T T T"
Zn 0.000 2.139 0.000
Zn 0.000 0.000 2.139
Zn 2.139 0.000 0.000
Hf 2.139 2.139 2.139
Li 0.000 0.000 0.000
```

No. 3
RbLi2Bi2: optimized geometry, PBE.

## Properties
Its excess energy over the best structure of this formula in the dataset is 0.0 meV per atom. As for the energy of formation from the pure elements: -373 meV/atom.

extended XYZ file:
```
10
Lattice="-9.147 -0.926 -0.751 1.030 -3.218 -8.583 0.216 -3.102 1.189" Properties=species:S:1:pos:R:3 pbc="T T T"
Bi -0.612 -3.791 -5.117
Bi -4.984 -4.884 -7.173
Bi -7.289 -3.456 -3.028
Bi -2.917 -2.363 -0.973
Rb 0.000 0.000 0.000
Rb -4.059 -2.072 -4.667
Li -2.499 -3.148 -7.758
Li -7.323 -2.830 -6.050
Li -5.618 -0.996 -1.577
Li -0.794 -1.314 -3.284
```

No. 4
Rb2HoCu2S4: optimized geometry, PBE.

## Properties
Its raw formation energy is -1.124 eV/atom.

extended XYZ file:
```
9
Lattice="3.916 0.000 0.000 0.000 7.843 0.445 -1.958 -2.700 6.795" Properties=species:S:1:pos:R:3 pbc="T T T"
Rb 0.000 3.634 2.046
Rb 1.958 1.509 5.194
Ho 0.000 0.000 0.000
Cu 1.958 6.760 2.888
Cu 0.000 -1.617 4.352
S 0.000 0.179 2.790
S 1.958 4.964 4.450
S 1.958 5.962 0.664
S 0.000 -0.820 6.576
```

No. 5
NiBiRhSe2: optimized geometry, PBE.

## Properties
Its raw formation energy is 0.370 eV/atom.

extended XYZ file:
```
5
Lattice="4.921 0.000 0.000 0.000 4.585 0.000 0.000 0.000 4.921" Properties=species:S:1:pos:R:3 pbc="T T T"
Ni 0.000 2.292 0.000
Rh 0.000 0.000 0.000
Bi 2.461 2.292 2.461
Se 0.000 0.000 2.461
Se 2.461 0.000 0.000
```

No. 6
Re2AgSe: optimized geometry, PBE.

## Properties
Its raw formation energy is 0.851 eV/atom.

extended XYZ file:
```
4
Lattice="3.049 0.000 0.000 0.000 3.049 0.000 0.000 0.000 6.742" Properties=species:S:1:pos:R:3 pbc="T T T"
Ag 1.524 1.524 5.056
Re 0.000 0.000 0.241
Re 0.000 0.000 3.130
Se 1.524 1.524 1.685
```

No. 7
La3AlGe: optimized geometry, PBE.

## Properties
Its excess energy over the best structure of this formula in the dataset is 42.0 meV per atom. As for the energy of formation from the pure elements: -481 meV/atom.

extended XYZ file:
```
10
Lattice="4.240 0.006 0.003 -2.109 8.051 -0.153 0.005 -0.510 8.840" Properties=species:S:1:pos:R:3 pbc="T T T"
La -0.065 1.158 3.313
La -0.067 6.876 5.465
La 2.067 1.696 6.928
La 2.061 7.924 0.241
La -0.064 4.411 0.222
La 2.059 4.671 3.331
Al -0.058 3.690 5.616
Al 2.058 4.882 6.777
Ge -0.059 6.812 2.355
Ge 2.054 2.270 1.199
```

No. 8
Sr6Nb7O21: optimized geometry, PBE.

## Properties
Its raw formation energy is -2.786 eV/atom.

extended XYZ file:
```
34
Lattice="-4.651 3.055 -7.198 2.219 -8.805 -0.571 -3.714 2.307 7.978" Properties=species:S:1:pos:R:3 pbc="T T T"
Sr -3.055 -4.366 -2.169
Sr -3.633 -3.002 3.300
Sr -0.452 -3.874 0.919
Sr -5.693 0.432 -0.709
Sr -2.512 -0.441 -3.091
Sr -3.090 0.923 2.379
Nb -3.660 -0.336 5.679
Nb -5.174 1.780 -3.977
Nb -5.759 3.166 1.597
Nb -0.386 -6.609 -1.388
Nb -0.971 -5.223 4.186
Nb -2.486 -3.107 -5.470
Nb -3.073 -1.721 0.105
O -1.829 -1.552 1.710
O -1.547 -2.230 -1.146
O -6.998 2.838 0.022
O -2.102 -0.845 4.449
O -3.920 1.986 -2.370
O -2.753 -5.039 -4.905
O -3.557 1.270 -5.094
O -2.226 -5.428 2.579
O -3.232 -3.702 0.559
O -4.182 2.681 0.390
O -0.199 -4.626 -1.867
O 0.853 -6.281 0.187
O -2.588 -4.712 5.303
O -0.747 -3.249 3.704
O -4.316 -1.891 -1.501
O -4.044 -2.598 -4.239
O -1.216 -2.875 -3.884
O -5.947 1.183 2.077
O -4.599 -1.212 1.356
O -2.914 0.259 -0.350
O -3.392 1.596 5.115
```

No. 9
La2PuTl9: optimized geometry, PBE.

## Properties
As for the energy of formation from the pure elements: -247 meV/atom.

extended XYZ file:
```
12
Lattice="-4.275 -1.895 -1.301 2.289 -3.256 -2.780 0.639 -9.200 11.302" Properties=species:S:1:pos:R:3 pbc="T T T"
La 0.212 -3.052 3.750
La 0.427 -6.147 7.552
Pu 0.000 0.000 0.000
Tl -0.993 -2.575 -2.040
Tl -0.781 -5.627 1.709
Tl -0.566 -8.723 5.512
Tl -2.034 -2.441 1.184
Tl -1.818 -5.548 5.000
Tl -1.603 -8.654 8.817
Tl 1.248 -3.121 0.444
Tl 1.464 -6.228 4.261
Tl 1.680 -9.335 8.078
```

No. 10
Sn2Hg2Cl: optimized geometry, PBE.

## Properties
Its excess energy over the best structure of this formula in the dataset is 0.0 meV per atom. Its raw formation energy is -0.145 eV/atom.

extended XYZ file:
```
10
Lattice="8.116 0.000 0.000 0.000 8.116 0.000 0.000 0.000 4.144" Properties=species:S:1:pos:R:3 pbc="T T T"
Cl 0.000 0.000 0.000
Cl 4.058 4.058 0.000
Hg 1.339 5.397 2.072
Hg 5.397 6.777 2.072
Hg 6.777 2.719 2.072
Hg 2.719 1.339 2.072
Sn 2.905 6.963 0.000
Sn 6.963 5.211 0.000
Sn 5.211 1.153 0.000
Sn 1.153 2.905 0.000
```

No. 11
Sc2MnW: optimized geometry, PBE.

## Properties
Its excess energy over the best structure of this formula in the dataset is 475.3 meV per atom. As for the energy of formation from the pure elements: 522 meV/atom.

extended XYZ file:
```
4
Lattice="0.000 3.252 3.252 3.252 0.000 3.252 3.252 3.252 0.000" Properties=species:S:1:pos:R:3 pbc="T T T"
Sc 1.626 1.626 1.626
Sc 4.879 4.879 4.879
Mn 0.000 0.000 0.000
W 3.252 3.252 3.252
```

No. 12
TaReSe: optimized geometry, PBE.

## Properties
Its excess energy over the best structure of this formula in the dataset is 200.5 meV per atom. Its raw formation energy is 0.278 eV/atom.

extended XYZ file:
```
3
Lattice="-1.127 -4.047 0.930 0.501 -1.508 3.999 -3.447 -0.762 2.459" Properties=species:S:1:pos:R:3 pbc="T T T"
Re -1.018 -1.579 1.847
Se 0.000 0.000 0.000
Ta -2.037 -3.159 3.694
```

Copy entry 9 word for word.
La2PuTl9: optimized geometry, PBE.

## Properties
As for the energy of formation from the pure elements: -247 meV/atom.

extended XYZ file:
```
12
Lattice="-4.275 -1.895 -1.301 2.289 -3.256 -2.780 0.639 -9.200 11.302" Properties=species:S:1:pos:R:3 pbc="T T T"
La 0.212 -3.052 3.750
La 0.427 -6.147 7.552
Pu 0.000 0.000 0.000
Tl -0.993 -2.575 -2.040
Tl -0.781 -5.627 1.709
Tl -0.566 -8.723 5.512
Tl -2.034 -2.441 1.184
Tl -1.818 -5.548 5.000
Tl -1.603 -8.654 8.817
Tl 1.248 -3.121 0.444
Tl 1.464 -6.228 4.261
Tl 1.680 -9.335 8.078
```

Copy entry 10 word for word.
Sn2Hg2Cl: optimized geometry, PBE.

## Properties
Its excess energy over the best structure of this formula in the dataset is 0.0 meV per atom. Its raw formation energy is -0.145 eV/atom.

extended XYZ file:
```
10
Lattice="8.116 0.000 0.000 0.000 8.116 0.000 0.000 0.000 4.144" Properties=species:S:1:pos:R:3 pbc="T T T"
Cl 0.000 0.000 0.000
Cl 4.058 4.058 0.000
Hg 1.339 5.397 2.072
Hg 5.397 6.777 2.072
Hg 6.777 2.719 2.072
Hg 2.719 1.339 2.072
Sn 2.905 6.963 0.000
Sn 6.963 5.211 0.000
Sn 5.211 1.153 0.000
Sn 1.153 2.905 0.000
```